[1]
La2AgGe: optimized geometry, PBE.

- ΔH_f (0 K): -0.510 eV/atom
- Calculated total energy: -4.841 eV per atom
- Magnetic moment: 0.01 μB/f.u.

a = 5.302 Å, b = 5.302 Å, c = 3.870 Å
α = 90.00°, β = 90.00°, γ = 90.00°
Fractional positions:
La 0.000 0.500 0.000
La 0.500 0.000 0.000
Ag 0.000 0.000 0.500
Ge 0.500 0.500 0.500

=====

[2]
Li3MoP: optimized geometry, PBE.

- ΔE to the lowest computed polymorph: 0.0000 eV per atom
- ΔH_f (0 K): 0.788 eV/atom
- Calculated total energy: -3.608 eV per atom
- Magnetic moment: 0.00 μB/f.u.

a = 4.308 Å, b = 4.308 Å, c = 4.308 Å
α = 90.00°, β = 90.00°, γ = 90.00°
Fractional positions:
Li 0.000 0.000 0.500
Li 0.000 0.500 0.000
Li 0.500 0.000 0.000
Mo 0.500 0.500 0.500
P 0.000 0.000 0.000

=====

[3]
NaTcO3: optimized geometry, PBE.

- Uncorrected formation energy: -1.43 eV per atom
- Calculated total energy: -6.741 eV per atom
- Magnetic moment: 0.00 μB/f.u.

a = 7.487 Å, b = 7.487 Å, c = 5.430 Å
α = 96.01°, β = 96.01°, γ = 85.64°
Fractional positions:
Na 0.092 0.908 0.750
Na 0.293 0.707 0.250
Na 0.707 0.293 0.750
Na 0.908 0.092 0.250
Tc 0.186 0.387 0.708
Tc 0.387 0.186 0.208
Tc 0.613 0.814 0.792
Tc 0.814 0.613 0.292
O 0.025 0.222 0.650
O 0.155 0.604 0.859
O 0.222 0.025 0.150
O 0.282 0.396 0.390
O 0.396 0.282 0.890
O 0.396 0.845 0.641
O 0.604 0.155 0.359
O 0.604 0.718 0.110
O 0.718 0.604 0.610
O 0.778 0.975 0.850
O 0.845 0.396 0.141
O 0.975 0.778 0.350